Entry 1:
This record from Alexandria describes La2VCdIn after structural relaxation. The functional is GGA-PBE.

a = 5.264 Å, b = 5.264 Å, c = 5.340 Å
α = 90.00°, β = 90.00°, γ = 90.00°
Element x y z (fractional)
La: 0.000 0.500 0.000
La: 0.500 0.000 0.000
V: 0.000 0.000 0.000
Cd: 0.000 0.000 0.500
In: 0.500 0.500 0.500

Total moment ... 0.799 Bohr magnetons per cell
SG ... P4/mmm (123)
Uncorrected energy ... -4.2777 eV/atom
ΔH_f (0 K) ... 248 meV per atom

Entry 2:
This record from Alexandria describes Li3Ag3Cl8 after structural relaxation. The functional is GGA-PBE.

a = 7.674 Å, b = 7.674 Å, c = 7.674 Å
α = 59.25°, β = 59.25°, γ = 59.25°
Element x y z (fractional)
Li: 0.000 0.500 0.500
Li: 0.500 0.000 0.500
Li: 0.500 0.500 0.000
Ag: 0.136 0.136 0.136
Ag: 0.500 0.500 0.500
Ag: 0.864 0.864 0.864
Cl: 0.260 0.260 0.728
Cl: 0.260 0.728 0.260
Cl: 0.269 0.269 0.269
Cl: 0.272 0.740 0.740
Cl: 0.728 0.260 0.260
Cl: 0.731 0.731 0.731
Cl: 0.740 0.272 0.740
Cl: 0.740 0.740 0.272

Total moment ... 0.005 Bohr magnetons per cell
Raw formation energy ... -955 meV per atom
SG ... R-3m (166)
Uncorrected energy ... -3.0316 eV/atom

Entry 3:
This record from Alexandria describes Si2MoAu after structural relaxation. The functional is GGA-PBE.

a = 4.408 Å, b = 4.408 Å, c = 4.408 Å
α = 60.00°, β = 60.00°, γ = 60.00°
Element x y z (fractional)
Si: 0.250 0.250 0.250
Si: 0.750 0.750 0.750
Mo: 0.000 0.000 0.000
Au: 0.500 0.500 0.500

Total moment ... 0.000 Bohr magnetons per cell
Raw formation energy ... 287 meV per atom
SG ... Fm-3m (225)
Uncorrected energy ... -5.9519 eV/atom
Relative energy among the computed polymorphs ... 350 meV per atom

Entry 4:
This record from Alexandria describes LaHoCo4 after structural relaxation. The functional is GGA-PBE.

a = 3.884 Å, b = 4.150 Å, c = 6.760 Å
α = 90.00°, β = 90.00°, γ = 90.00°
Element x y z (fractional)
La: 0.000 0.000 0.000
Ho: 0.500 0.000 0.500
Co: 0.000 0.500 0.337
Co: 0.000 0.500 0.663
Co: 0.500 0.500 0.170
Co: 0.500 0.500 0.830

Total moment ... 2.746 Bohr magnetons per cell
SG ... Pmmm (47)
Uncorrected energy ... -6.4816 eV/atom
Relative energy among the computed polymorphs ... 0 meV per atom
ΔH_f (0 K) ... -160 meV per atom

Which of these has the lowest uncorrected energy? LaHoCo4